# Ta2ReP (GGA-PBE, optimized geometry)
data_Ta2ReP
_symmetry_space_group_name_H-M 'C m m m'
_symmetry_Int_Tables_number 65
_symmetry_space_group_name_Hall '-C 2 2'
_cell_length_a 3.341
_cell_length_b 4.721
_cell_length_c 8.080
_cell_angle_alpha 90.00
_cell_angle_beta 90.00
_cell_angle_gamma 90.00
loop_
_atom_site_label
_atom_site_type_symbol
_atom_site_fract_x
_atom_site_fract_y
_atom_site_fract_z
Ta1 Ta 0.000 0.000 0.232
Re1 Re 0.000 0.500 0.500
P1 P 0.000 0.500 0.000
# M_tot ... 0.00 μB per atom
# Crystal system ... orthorhombic
# Density ... 15.09 g/cm3
# V ... 127 Å³ per cell
# Density of states at the Fermi level ... 2.7 states/eV/f.u.
# Raw total energy ... -0.77878 Ry/atom
# Polymorph energy (0 for the lowest one) ... 234 meV per atom



# TaReP (GGA-PBE, optimized geometry)
data_TaReP
_symmetry_space_group_name_H-M 'I m m 2'
_symmetry_Int_Tables_number 44
_cell_length_a 3.072
_cell_length_b 3.782
_cell_length_c 7.952
_cell_angle_alpha 90.00
_cell_angle_beta 90.00
_cell_angle_gamma 90.00
loop_
_symmetry_equiv_pos_as_xyz
'x,y,z'
'-x,-y,z'
'-x,y,z'
'x,-y,z'
'x+1/2,y+1/2,z+1/2'
'-x+1/2,-y+1/2,z+1/2'
'-x+1/2,y+1/2,z+1/2'
'x+1/2,-y+1/2,z+1/2'
loop_
_atom_site_label
_atom_site_type_symbol
_atom_site_fract_x
_atom_site_fract_y
_atom_site_fract_z
Ta1 Ta 0.000 0.000 0.000
Re1 Re 0.000 0.000 0.661
P1 P 0.000 0.000 0.329
# M_tot ... 0.00 μB per atom
# Crystal system ... orthorhombic
# Density ... 14.31 g/cm3
# V ... 92 Å³ per cell
# Density of states at the Fermi level ... 1.9 states/eV/f.u.
# Raw total energy ... -0.72254 Ry/atom
# Polymorph energy (0 for the lowest one) ... 358 meV per atom



# TaReP2 (GGA-PBE, optimized geometry)
data_TaReP2
_symmetry_space_group_name_H-M 'C 1 2/m 1'
_symmetry_Int_Tables_number 12
_cell_length_a 7.457
_cell_length_b 3.028
_cell_length_c 5.392
_cell_angle_alpha 90.00
_cell_angle_beta 102.40
_cell_angle_gamma 90.00
loop_
_symmetry_equiv_pos_as_xyz
'x,y,z'
'-x,-y,-z'
'-x,y,-z'
'x,-y,z'
'x+1/2,y+1/2,z'
'-x+1/2,-y+1/2,-z'
'-x+1/2,y+1/2,-z'
'x+1/2,-y+1/2,z'
loop_
_atom_site_label
_atom_site_type_symbol
_atom_site_fract_x
_atom_site_fract_y
_atom_site_fract_z
Ta1 Ta 0.000 0.000 0.000
Re1 Re 0.000 0.500 0.500
P1 P 0.246 0.000 0.721
# M_tot ... 0.00 μB per atom
# Crystal system ... monoclinic
# Density ... 11.99 g/cm3
# V ... 119 Å³ per cell
# Density of states at the Fermi level ... 3.3 states/eV/f.u.
# Raw total energy ... -0.65562 Ry/atom
# Polymorph energy (0 for the lowest one) ... 370 meV per atom



# Re2TcP (GGA-PBE, optimized geometry)
data_Re2TcP
_symmetry_space_group_name_H-M 'I m m 2'
_symmetry_Int_Tables_number 44
_cell_length_a 2.897
_cell_length_b 4.382
_cell_length_c 8.748
_cell_angle_alpha 90.00
_cell_angle_beta 90.00
_cell_angle_gamma 90.00
loop_
_symmetry_equiv_pos_as_xyz
'x,y,z'
'-x,-y,z'
'-x,y,z'
'x,-y,z'
'x+1/2,y+1/2,z+1/2'
'-x+1/2,-y+1/2,z+1/2'
'-x+1/2,y+1/2,z+1/2'
'x+1/2,-y+1/2,z+1/2'
loop_
_atom_site_label
_atom_site_type_symbol
_atom_site_fract_x
_atom_site_fract_y
_atom_site_fract_z
Re1 Re 0.000 0.000 0.000
Re2 Re 0.000 0.500 0.217
Tc1 Tc 0.000 0.500 0.782
P1 P 0.000 0.000 0.499
# M_tot ... 0.00 μB per atom
# Crystal system ... orthorhombic
# Density ... 14.99 g/cm3
# V ... 111 Å³ per cell
# Density of states at the Fermi level ... 2.2 states/eV/f.u.
# Raw total energy ... -0.75665 Ry/atom



# ReTc3P (GGA-PBE, optimized geometry)
data_ReTc3P
_symmetry_space_group_name_H-M 'P m -3 m'
_symmetry_Int_Tables_number 221
_symmetry_space_group_name_Hall '-P 4 2 3'
_cell_length_a 4.303
_cell_length_b 4.303
_cell_length_c 4.303
_cell_angle_alpha 90.00
_cell_angle_beta 90.00
_cell_angle_gamma 90.00
loop_
_atom_site_label
_atom_site_type_symbol
_atom_site_fract_x
_atom_site_fract_y
_atom_site_fract_z
Re1 Re 0.000 0.000 0.000
Tc1 Tc 0.000 0.500 0.500
P1 P 0.500 0.500 0.500
# M_tot ... 0.24 μB per atom
# Crystal system ... cubic
# Density ... 10.65 g/cm3
# V ... 80 Å³ per cell
# Density of states at the Fermi level ... 5.6 states/eV/f.u.
# Raw total energy ... -0.66582 Ry/atom
# Polymorph energy (0 for the lowest one) ... 892 meV per atom



# ReTc2P2 (GGA-PBE, optimized geometry)
data_ReTc2P2
_symmetry_space_group_name_H-M 'P 4/m b m'
_symmetry_Int_Tables_number 127
_symmetry_space_group_name_Hall '-P 4 2ab'
_cell_length_a 6.851
_cell_length_b 6.851
_cell_length_c 2.863
_cell_angle_alpha 90.00
_cell_angle_beta 90.00
_cell_angle_gamma 90.00
loop_
_atom_site_label
_atom_site_type_symbol
_atom_site_fract_x
_atom_site_fract_y
_atom_site_fract_z
Re1 Re 0.000 0.000 0.000
Tc1 Tc 0.148 0.352 0.500
P1 P 0.157 0.657 0.000
# M_tot ... 0.00 μB per atom
# Crystal system ... tetragonal
# Density ... 10.98 g/cm3
# V ... 134 Å³ per cell
# Density of states at the Fermi level ... 4.9 states/eV/f.u.
# Raw total energy ... -0.65375 Ry/atom



> What is the raw total energy in the sixth record?

-0.65375 Ry/atom



> What is the formula in the sixth record?

ReTc2P2



> Among the records above, which one has the highest density of states at the Fermi level?

ReTc3P